! Ni3IN (GGA-PBEsol, relaxed); values from VASP
&SYSTEM
  ibrav = 0, nat = 5, ntyp = 3
/
ATOMIC_SPECIES
Ni 58.69 Ni.upf
N 14.01 N.upf
I 126.90 I.upf
ATOMIC_POSITIONS crystal
Ni 0.5000 0.0000 0.0000
Ni 0.0000 0.5000 0.0000
Ni 0.0000 0.0000 0.5000
N 0.5000 0.5000 0.5000
I 0.0000 0.0000 0.0000
CELL_PARAMETERS angstrom
4.6022 0.0000 0.0000
0.0000 4.6022 0.0000
0.0000 0.0000 4.6022
! - Total DFT energy (no corrections): -18.27 eV per cell
! - Density of states at the Fermi level: 11.610 states/eV/f.u.

---

! LiCo2H (GGA-PBEsol, relaxed); values from VASP
&SYSTEM
  ibrav = 0, nat = 8, ntyp = 3
/
ATOMIC_SPECIES
Li 6.94 Li.upf
Co 58.93 Co.upf
H 1.01 H.upf
ATOMIC_POSITIONS crystal
Li 0.2500 0.2500 0.2500
Li 0.0000 0.0000 0.0000
Co 0.6250 0.1250 0.6250
Co 0.6250 0.6250 0.6250
Co 0.6250 0.6250 0.1250
Co 0.1250 0.6250 0.6250
H 0.7500 0.7500 0.7500
H 0.5000 0.5000 0.5000
CELL_PARAMETERS angstrom
4.9906 0.0000 0.0000
2.4953 4.3220 0.0000
2.4953 1.4407 4.0748
! - Total DFT energy (no corrections): -39.04 eV per cell
! - Density of states at the Fermi level: 4.046 states/eV/f.u.

---

! Co (GGA-PBEsol, relaxed); values from VASP
&SYSTEM
  ibrav = 0, nat = 2, ntyp = 1
/
ATOMIC_SPECIES
Co 58.93 Co.upf
ATOMIC_POSITIONS crystal
Co 0.3333 0.6667 0.7500
Co 0.6667 0.3333 0.2500
CELL_PARAMETERS angstrom
2.4531 0.0000 0.0000
-1.2265 2.1244 0.0000
0.0000 0.0000 3.9560
! - Formation energy from the elements: 0 meV per atom
! - Density of states at the Fermi level: 0.800 states/eV/f.u.
! - E above lowest polymorph: 0 meV per atom

---

! Pr3InSe6 (GGA-PBEsol, relaxed); values from VASP
&SYSTEM
  ibrav = 0, nat = 40, ntyp = 3
/
ATOMIC_SPECIES
Pr 140.91 Pr.upf
In 114.82 In.upf
Se 78.96 Se.upf
ATOMIC_POSITIONS crystal
Pr 0.5000 0.2480 0.3956
Pr 0.0000 0.7480 0.1044
Pr 0.5000 0.6866 0.3540
Pr 0.0000 0.0422 0.7235
Pr 0.5000 0.7520 0.6044
Pr 0.0000 0.9578 0.2765
Pr 0.0000 0.1866 0.1460
Pr 0.0000 0.2520 0.8956
Pr 0.0000 0.8134 0.8540
Pr 0.5000 0.5422 0.7765
Pr 0.5000 0.3134 0.6460
Pr 0.5000 0.4578 0.2235
In 0.5000 0.0000 0.5000
In 0.0000 0.5000 0.5000
In 0.5000 0.0000 0.0000
In 0.0000 0.5000 0.0000
Se 0.5000 0.5241 0.6030
Se 0.0000 0.3886 0.7498
Se 0.0000 0.3180 0.2853
Se 0.0000 0.6130 0.8856
Se 0.5000 0.5930 0.0850
Se 0.5000 0.4759 0.3970
Se 0.0000 0.0930 0.4150
Se 0.0000 0.6820 0.7147
Se 0.5000 0.1130 0.6144
Se 0.5000 0.1114 0.2498
Se 0.0000 0.9759 0.1030
Se 0.0000 0.6114 0.2502
Se 0.5000 0.8870 0.3856
Se 0.0000 0.9070 0.5850
Se 0.5000 0.8886 0.7502
Se 0.0000 0.6905 0.4806
Se 0.5000 0.4070 0.9150
Se 0.5000 0.8095 0.9806
Se 0.5000 0.1820 0.7853
Se 0.5000 0.1905 0.0194
Se 0.5000 0.8180 0.2147
Se 0.0000 0.0241 0.8970
Se 0.0000 0.3870 0.1144
Se 0.0000 0.3095 0.5194
CELL_PARAMETERS angstrom
4.1071 0.0000 0.0000
0.0000 14.2888 0.0000
0.0000 0.0000 17.4764
! - Total DFT energy (no corrections): -229.63 eV per cell

---

! Ni2Pt (GGA-PBEsol, relaxed); values from VASP
&SYSTEM
  ibrav = 0, nat = 6, ntyp = 2
/
ATOMIC_SPECIES
Ni 58.69 Ni.upf
Pt 195.08 Pt.upf
ATOMIC_POSITIONS crystal
Ni 0.3365 0.6731 0.9183
Ni 0.0002 0.0005 0.2329
Ni 0.9998 0.9995 0.7671
Ni 0.6635 0.3269 0.0817
Pt 0.3395 0.6789 0.4106
Pt 0.6605 0.3211 0.5894
CELL_PARAMETERS angstrom
-0.4577 -2.4917 0.7183
1.5667 -0.4591 -5.4210
4.4728 -0.0737 2.5941
! - Formation energy from the elements: -33 meV per atom
! - Density of states at the Fermi level: 4.802 states/eV/f.u.

---

! SrTlSn3 (GGA-PBEsol, relaxed); values from VASP
&SYSTEM
  ibrav = 0, nat = 5, ntyp = 3
/
ATOMIC_SPECIES
Sn 118.71 Sn.upf
Sr 87.62 Sr.upf
Tl 204.38 Tl.upf
ATOMIC_POSITIONS crystal
Sn 0.0000 0.0000 0.5000
Sn 0.5000 0.0000 0.0000
Sn 0.0000 0.5000 0.0000
Sr 0.0000 0.0000 0.0000
Tl 0.5000 0.5000 0.5000
CELL_PARAMETERS angstrom
5.8817 0.0000 0.0000
0.0000 5.8817 0.0000
0.0000 0.0000 5.8817
! - Formation energy from the elements: 745 meV per atom
! - Density of states at the Fermi level: 6.396 states/eV/f.u.
! - E above lowest polymorph: 494 meV per atom

---

! ZrMo2Ir (GGA-PBEsol, relaxed); values from VASP
&SYSTEM
  ibrav = 0, nat = 4, ntyp = 3
/
ATOMIC_SPECIES
Zr 91.22 Zr.upf
Mo 95.94 Mo.upf
Ir 192.22 Ir.upf
ATOMIC_POSITIONS crystal
Zr 0.5000 0.5000 0.0000
Mo 0.0000 0.0000 0.7193
Mo 0.0000 0.0000 0.2807
Ir 0.5000 0.5000 0.5000
CELL_PARAMETERS angstrom
-2.0870 -0.8833 -1.6284
-1.3138 -2.2694 2.9146
-3.4372 4.5074 1.9602
! - Formation energy from the elements: 88 meV per atom
! - Density of states at the Fermi level: 4.947 states/eV/f.u.
! - E above lowest polymorph: 277 meV per atom

---

! Cr7C3 (GGA-PBEsol, relaxed); values from VASP
&SYSTEM
  ibrav = 0, nat = 40, ntyp = 2
/
ATOMIC_SPECIES
Cr 52.00 Cr.upf
C 12.01 C.upf
ATOMIC_POSITIONS crystal
Cr 0.9402 0.9346 0.1878
Cr 0.0559 0.2500 0.6264
Cr 0.2538 0.2500 0.4172
Cr 0.7462 0.7500 0.5828
Cr 0.0598 0.4346 0.8122
Cr 0.2493 0.4332 0.0227
Cr 0.2507 0.5668 0.5227
Cr 0.7353 0.2500 0.2947
Cr 0.7493 0.4332 0.4773
Cr 0.7507 0.5668 0.9773
Cr 0.0598 0.0654 0.8122
Cr 0.5598 0.4346 0.6878
Cr 0.4402 0.9346 0.3122
Cr 0.2507 0.9332 0.5227
Cr 0.7507 0.9332 0.9773
Cr 0.5559 0.2500 0.8736
Cr 0.7538 0.2500 0.0828
Cr 0.2647 0.7500 0.7053
Cr 0.2493 0.0668 0.0227
Cr 0.2462 0.7500 0.9172
Cr 0.7647 0.7500 0.7947
Cr 0.7493 0.0668 0.4773
Cr 0.9441 0.7500 0.3736
Cr 0.4441 0.7500 0.1264
Cr 0.9402 0.5654 0.1878
Cr 0.2353 0.2500 0.2053
Cr 0.5598 0.0654 0.6878
Cr 0.4402 0.5654 0.3122
C 0.9714 0.9656 0.6572
C 0.5341 0.7500 0.4378
C 0.4714 0.9656 0.8428
C 0.0286 0.4656 0.3428
C 0.5286 0.0344 0.1572
C 0.9659 0.2500 0.9378
C 0.4714 0.5344 0.8428
C 0.0286 0.0344 0.3428
C 0.0341 0.7500 0.0622
C 0.9714 0.5344 0.6572
C 0.5286 0.4656 0.1572
C 0.4659 0.2500 0.5622
CELL_PARAMETERS angstrom
4.4411 0.0000 0.0000
0.0000 6.8527 0.0000
0.0000 0.0000 11.9350
! - Formation energy from the elements: -189 meV per atom
! - Density of states at the Fermi level: 8.143 states/eV/f.u.

---

> What is the formula in the sixth record?

SrTlSn3